## Tm4Th2Sc3 (PBE)

Data for an optimized crystal structure of Tm4Th2Sc3.

abc: 9.6133 9.6133 5.9274
angles: 95.46 95.46 71.85
Fractional positions:
Tm: 0.0847 0.8142 0.9861
Tm: 0.1429 0.4169 0.1592
Tm: 0.1858 0.9153 0.5139
Tm: 0.4169 0.1429 0.6592
Tm: 0.5831 0.8571 0.3408
Tm: 0.8142 0.0847 0.4861
Tm: 0.8571 0.5831 0.8408
Tm: 0.9153 0.1858 0.0139
Th: 0.2512 0.5260 0.6863
Th: 0.4740 0.7488 0.8137
Th: 0.5260 0.2512 0.1863
Th: 0.7488 0.4740 0.3137
Sc: 0.0612 0.2723 0.5866
Sc: 0.2723 0.0612 0.0866
Sc: 0.3887 0.6113 0.2500
Sc: 0.6113 0.3887 0.7500
Sc: 0.7277 0.9388 0.9134
Sc: 0.9388 0.7277 0.4134

- Energy relative to the lowest polymorph listed for this composition: 7.4 kJ per mole of atoms
- D(E_F): 24.91 states/eV/cell
- Final energy: -5.63 eV/atom
- Space group: C2/c

## Dy3TmPd3 (PBE)

Data for an optimized crystal structure of Dy3TmPd3.

abc: 6.9346 6.9346 7.0835
angles: 91.51 91.51 97.33
Fractional positions:
Dy: 0.1760 0.8240 0.0000
Dy: 0.2524 0.7476 0.5000
Dy: 0.3480 0.3480 0.1343
Dy: 0.6520 0.6520 0.8657
Dy: 0.7476 0.2524 0.5000
Dy: 0.8240 0.1760 0.0000
Tm: 0.2601 0.2601 0.6239
Tm: 0.7399 0.7399 0.3761
Pd: 0.0174 0.5006 0.7800
Pd: 0.0621 0.0621 0.3093
Pd: 0.4994 0.9826 0.2200
Pd: 0.5006 0.0174 0.7800
Pd: 0.9379 0.9379 0.6907
Pd: 0.9826 0.4994 0.2200

- D(E_F): 9.66 states/eV/cell
- Final energy: -5.54 eV/atom
- Space group: C2/m